(1)
# SCAN Fe2SiIrRh, single point on PBEsol structure
# **Calculated total energy**: -29.34 eV/atom
# **DOS(E_F)**: 3.8 states/eV per cell
# **Formation energy without anion corrections**: 0.891 eV per atom
# **Crystal system**: tetragonal
# **Magnetization**: 8.2 μB/cell
# **Density**: 7.932 g cm⁻³
data_Fe2SiIrRh
_chemical_formula_sum 'Fe2 Si1 Ir1 Rh1'
_cell_length_a 4.565
_cell_length_b 4.565
_cell_length_c 4.370
_cell_angle_alpha 90.00
_cell_angle_beta 90.00
_cell_angle_gamma 90.00
_space_group_name_H-M_alt 'P 4/m m m'
_space_group_IT_number 123
_space_group_name_Hall '-P 4 2'
loop_
_atom_site_label
_atom_site_fract_x
_atom_site_fract_y
_atom_site_fract_z
Fe1 0.000 0.500 0.000
Si1 0.000 0.000 0.500
Ir1 0.000 0.000 0.000
Rh1 0.500 0.500 0.500

***

(2)
# SCAN FeIr2Ru, single point on PBEsol structure
# **E above lowest polymorph**: 57 meV per atom
# **ΔH_f (0 K)**: -0.060 eV/atom
# **Calculated total energy**: -48.85 eV/atom
# **DOS(E_F)**: 9.5 states/eV per cell
# **Crystal system**: orthorhombic
# **Magnetization**: 6.8 μB/cell
# **Density**: 17.199 g cm⁻³
data_FeIr2Ru
_chemical_formula_sum 'Fe2 Ir4 Ru2'
_cell_length_a 5.285
_cell_length_b 7.435
_cell_length_c 2.661
_cell_angle_alpha 90.00
_cell_angle_beta 90.00
_cell_angle_gamma 90.00
_space_group_name_H-M_alt 'C m m m'
_space_group_IT_number 65
_space_group_name_Hall '-C 2 2'
loop_
_atom_site_label
_atom_site_fract_x
_atom_site_fract_y
_atom_site_fract_z
Fe1 0.000 0.000 0.000
Ir1 0.250 0.250 0.500
Ru1 0.000 0.500 0.000

***

(3)
# SCAN FeIr3Ru, single point on PBEsol structure
# **ΔH_f (0 K)**: 2.089 eV/atom
# **Calculated total energy**: -51.16 eV/atom
# **DOS(E_F)**: 8.1 states/eV per cell
# **Crystal system**: cubic
# **Magnetization**: 3.8 μB/cell
# **Density**: 12.538 g cm⁻³
data_FeIr3Ru
_chemical_formula_sum 'Fe1 Ir3 Ru1'
_cell_length_a 4.597
_cell_length_b 4.597
_cell_length_c 4.597
_cell_angle_alpha 90.00
_cell_angle_beta 90.00
_cell_angle_gamma 90.00
_space_group_name_H-M_alt 'P m -3 m'
_space_group_IT_number 221
_space_group_name_Hall '-P 4 2 3'
loop_
_atom_site_label
_atom_site_fract_x
_atom_site_fract_y
_atom_site_fract_z
Fe1 0.000 0.000 0.000
Ir1 0.000 0.500 0.500
Ru1 0.500 0.500 0.500

***

(4)
# SCAN FeIr2Ru, single point on PBEsol structure
# **E above lowest polymorph**: 5 meV per atom
# **ΔH_f (0 K)**: -0.112 eV/atom
# **Calculated total energy**: -48.90 eV/atom
# **DOS(E_F)**: 7.2 states/eV per cell
# **Crystal system**: tetragonal
# **Magnetization**: 5.9 μB/cell
# **Density**: 17.066 g cm⁻³
data_FeIr2Ru
_chemical_formula_sum 'Fe2 Ir4 Ru2'
_cell_length_a 3.745
_cell_length_b 3.745
_cell_length_c 7.513
_cell_angle_alpha 90.00
_cell_angle_beta 90.00
_cell_angle_gamma 90.00
_space_group_name_H-M_alt 'I 4/m m m'
_space_group_IT_number 139
_space_group_name_Hall '-I 4 2'
loop_
_atom_site_label
_atom_site_fract_x
_atom_site_fract_y
_atom_site_fract_z
Fe1 0.000 0.000 0.000
Ir1 0.000 0.500 0.250
Ru1 0.000 0.000 0.500

***

(5)
# SCAN FeIrRu, single point on PBEsol structure
# **E above lowest polymorph**: 433 meV per atom
# **ΔH_f (0 K)**: 0.379 eV/atom
# **Calculated total energy**: -40.97 eV/atom
# **DOS(E_F)**: 10.3 states/eV per cell
# **Crystal system**: cubic
# **Magnetization**: 8.3 μB/cell
# **Density**: 13.453 g cm⁻³
data_FeIrRu
_chemical_formula_sum 'Fe4 Ir4 Ru4'
_cell_length_a 5.565
_cell_length_b 5.565
_cell_length_c 5.565
_cell_angle_alpha 90.00
_cell_angle_beta 90.00
_cell_angle_gamma 90.00
_space_group_name_H-M_alt 'F -4 3 m'
_space_group_IT_number 216
_space_group_name_Hall 'F -4 2 3'
loop_
_atom_site_label
_atom_site_fract_x
_atom_site_fract_y
_atom_site_fract_z
Fe1 0.000 0.000 0.000
Ir1 0.250 0.250 0.750
Ru1 0.250 0.250 0.250

***

(6)
# SCAN FeIr2Ru, single point on PBEsol structure
# **E above lowest polymorph**: 0 meV per atom
# **ΔH_f (0 K)**: -0.117 eV/atom
# **Calculated total energy**: -48.91 eV/atom
# **DOS(E_F)**: 3.2 states/eV per cell
# **Crystal system**: orthorhombic
# **Magnetization**: 2.9 μB/cell
# **Density**: 17.087 g cm⁻³
data_FeIr2Ru
_chemical_formula_sum 'Fe1 Ir2 Ru1'
_cell_length_a 2.672
_cell_length_b 3.712
_cell_length_c 5.305
_cell_angle_alpha 90.00
_cell_angle_beta 90.00
_cell_angle_gamma 90.00
_space_group_name_H-M_alt 'P m m m'
_space_group_IT_number 47
loop_
_space_group_symop_operation_xyz
'x,y,z'
'-x,-y,-z'
'-x,-y,z'
'x,y,-z'
'x,-y,-z'
'-x,y,z'
'-x,y,-z'
'x,-y,z'
loop_
_atom_site_label
_atom_site_fract_x
_atom_site_fract_y
_atom_site_fract_z
Fe1 0.000 0.000 0.000
Ir1 0.500 0.500 0.245
Ru1 0.000 0.000 0.500

***

(7)
# SCAN Fe2IrRu, single point on PBEsol structure
# **ΔH_f (0 K)**: 0.063 eV/atom
# **Calculated total energy**: -35.48 eV/atom
# **DOS(E_F)**: 16.0 states/eV per cell
# **Crystal system**: cubic
# **Magnetization**: 29.3 μB/cell
# **Density**: 13.065 g cm⁻³
data_Fe2IrRu
_chemical_formula_sum 'Fe8 Ir4 Ru4'
_cell_length_a 5.905
_cell_length_b 5.905
_cell_length_c 5.905
_cell_angle_alpha 90.00
_cell_angle_beta 90.00
_cell_angle_gamma 90.00
_space_group_name_H-M_alt 'F -4 3 m'
_space_group_IT_number 216
_space_group_name_Hall 'F -4 2 3'
loop_
_atom_site_label
_atom_site_fract_x
_atom_site_fract_y
_atom_site_fract_z
Fe1 0.000 0.000 0.000
Fe2 0.250 0.250 0.250
Ir1 0.000 0.000 0.500
Ru1 0.250 0.250 0.750

***

(8)
# SCAN FeIr2Ru, single point on PBEsol structure
# **E above lowest polymorph**: 64 meV per atom
# **ΔH_f (0 K)**: -0.053 eV/atom
# **Calculated total energy**: -48.84 eV/atom
# **DOS(E_F)**: 3.5 states/eV per cell
# **Crystal system**: orthorhombic
# **Magnetization**: 2.7 μB/cell
# **Density**: 17.111 g cm⁻³
data_FeIr2Ru
_chemical_formula_sum 'Fe1 Ir2 Ru1'
_cell_length_a 2.667
_cell_length_b 3.718
_cell_length_c 5.298
_cell_angle_alpha 90.00
_cell_angle_beta 90.00
_cell_angle_gamma 90.00
_space_group_name_H-M_alt 'P m m 2'
_space_group_IT_number 25
loop_
_space_group_symop_operation_xyz
'x,y,z'
'-x,-y,z'
'-x,y,z'
'x,-y,z'
loop_
_atom_site_label
_atom_site_fract_x
_atom_site_fract_y
_atom_site_fract_z
Fe1 0.000 0.000 0.000
Ir1 0.000 0.000 0.507
Ir2 0.500 0.500 0.239
Ru1 0.500 0.500 0.756